(1)
# LaCu2Os PBE-GGA optimized geometry
data_LaCu2Os
_space_group_name_H-M_alt 'P 1'
_space_group_IT_number 1
_cell_length_a 5.015
_cell_length_b 5.015
_cell_length_c 5.015
_cell_angle_alpha 130.98
_cell_angle_beta 130.98
_cell_angle_gamma 71.84
loop_
_space_group_symop_operation_xyz
'x,y,z'
loop_
_atom_site_label
_atom_site_type_symbol
_atom_site_fract_x
_atom_site_fract_y
_atom_site_fract_z
Cu1 Cu 0.250 0.750 0.500
Cu2 Cu 0.000 0.000 0.000
La1 La 0.500 0.500 0.000
Os1 Os 0.750 0.250 0.500
# **Formation energy**: 0.37 eV per atom
# **DFT total energy**: -5.72 eV/atom
# **Space-group type**: I-4m2, No. 119

(2)
# LaCuOs PBE-GGA optimized geometry
data_LaCuOs
_space_group_name_H-M_alt 'P 1'
_space_group_IT_number 1
_cell_length_a 2.912
_cell_length_b 2.912
_cell_length_c 7.540
_cell_angle_alpha 90.00
_cell_angle_beta 90.00
_cell_angle_gamma 120.00
loop_
_space_group_symop_operation_xyz
'x,y,z'
loop_
_atom_site_label
_atom_site_type_symbol
_atom_site_fract_x
_atom_site_fract_y
_atom_site_fract_z
Os1 Os 0.333 0.667 0.695
La1 La 0.667 0.333 0.339
Cu1 Cu 0.000 0.000 0.966
# **Formation energy**: 0.72 eV per atom
# **DFT total energy**: -6.03 eV/atom
# **Space-group type**: P3m1, No. 156

(3)
# LaCu2Os PBE-GGA optimized geometry
data_LaCu2Os
_space_group_name_H-M_alt 'P 1'
_space_group_IT_number 1
_cell_length_a 4.343
_cell_length_b 4.343
_cell_length_c 5.503
_cell_angle_alpha 66.64
_cell_angle_beta 66.64
_cell_angle_gamma 60.04
loop_
_space_group_symop_operation_xyz
'x,y,z'
loop_
_atom_site_label
_atom_site_type_symbol
_atom_site_fract_x
_atom_site_fract_y
_atom_site_fract_z
Cu1 Cu 0.010 0.010 0.970
Os1 Os 0.684 0.684 0.946
Cu2 Cu 0.306 0.306 0.080
La1 La 0.500 0.500 0.503
# **Formation energy**: 0.07 eV per atom
# **DFT total energy**: -6.01 eV/atom
# **Space-group type**: Cm, No. 8

(4)
# LaCuOs PBE-GGA optimized geometry
data_LaCuOs
_space_group_name_H-M_alt 'P 1'
_space_group_IT_number 1
_cell_length_a 4.607
_cell_length_b 4.607
_cell_length_c 4.607
_cell_angle_alpha 60.00
_cell_angle_beta 60.00
_cell_angle_gamma 60.00
loop_
_space_group_symop_operation_xyz
'x,y,z'
loop_
_atom_site_label
_atom_site_type_symbol
_atom_site_fract_x
_atom_site_fract_y
_atom_site_fract_z
Os1 Os 0.000 0.000 0.000
La1 La 0.250 0.250 0.250
Cu1 Cu 0.500 0.500 0.500
# **Formation energy**: 1.09 eV per atom
# **DFT total energy**: -5.66 eV/atom
# **Space-group type**: F-43m, No. 216

(5)
# LaCuOs PBE-GGA optimized geometry
data_LaCuOs
_space_group_name_H-M_alt 'P 1'
_space_group_IT_number 1
_cell_length_a 5.490
_cell_length_b 5.490
_cell_length_c 3.479
_cell_angle_alpha 71.53
_cell_angle_beta 71.53
_cell_angle_gamma 36.95
loop_
_space_group_symop_operation_xyz
'x,y,z'
loop_
_atom_site_label
_atom_site_type_symbol
_atom_site_fract_x
_atom_site_fract_y
_atom_site_fract_z
Cu1 Cu 0.046 0.046 0.954
Os1 Os 0.622 0.622 0.378
La1 La 0.332 0.332 0.668
# **Formation energy**: 0.25 eV per atom
# **DFT total energy**: -6.50 eV/atom
# **Space-group type**: I4mm, No. 107

(6)
# LaCu2Os PBE-GGA optimized geometry
data_LaCu2Os
_space_group_name_H-M_alt 'P 1'
_space_group_IT_number 1
_cell_length_a 4.258
_cell_length_b 4.258
_cell_length_c 5.670
_cell_angle_alpha 64.04
_cell_angle_beta 64.04
_cell_angle_gamma 61.92
loop_
_space_group_symop_operation_xyz
'x,y,z'
loop_
_atom_site_label
_atom_site_type_symbol
_atom_site_fract_x
_atom_site_fract_y
_atom_site_fract_z
Cu1 Cu 0.052 0.052 0.840
La1 La 0.250 0.250 0.250
Os1 Os 0.750 0.750 0.750
Cu2 Cu 0.448 0.448 0.660
# **Formation energy**: 0.11 eV per atom
# **DFT total energy**: -5.98 eV/atom
# **Space-group type**: C2/m, No. 12

(7)
# LaCuOs3 PBE-GGA optimized geometry
data_LaCuOs3
_space_group_name_H-M_alt 'P 1'
_space_group_IT_number 1
_cell_length_a 4.872
_cell_length_b 4.872
_cell_length_c 4.872
_cell_angle_alpha 90.00
_cell_angle_beta 90.00
_cell_angle_gamma 90.00
loop_
_space_group_symop_operation_xyz
'x,y,z'
loop_
_atom_site_label
_atom_site_type_symbol
_atom_site_fract_x
_atom_site_fract_y
_atom_site_fract_z
Cu1 Cu 0.500 0.500 0.500
La1 La 0.000 0.000 0.000
Os1 Os 0.500 0.000 0.000
Os2 Os 0.000 0.000 0.500
Os3 Os 0.000 0.500 0.000
# **Formation energy**: 3.03 eV per atom
# **DFT total energy**: -5.51 eV/atom
# **Space-group type**: Pm-3m, No. 221

(8)
# LaCuOs3 PBE-GGA optimized geometry
data_LaCuOs3
_space_group_name_H-M_alt 'P 1'
_space_group_IT_number 1
_cell_length_a 4.589
_cell_length_b 4.589
_cell_length_c 4.589
_cell_angle_alpha 90.00
_cell_angle_beta 90.00
_cell_angle_gamma 90.00
loop_
_space_group_symop_operation_xyz
'x,y,z'
loop_
_atom_site_label
_atom_site_type_symbol
_atom_site_fract_x
_atom_site_fract_y
_atom_site_fract_z
Os1 Os 0.500 0.000 0.000
Os2 Os 0.000 0.000 0.500
Os3 Os 0.000 0.500 0.000
La1 La 0.500 0.500 0.500
Cu1 Cu 0.000 0.000 0.000
# **Formation energy**: 1.29 eV per atom
# **DFT total energy**: -7.25 eV/atom
# **Space-group type**: Pm-3m, No. 221

(9)
# LaCu2Os PBE-GGA optimized geometry
data_LaCu2Os
_space_group_name_H-M_alt 'P 1'
_space_group_IT_number 1
_cell_length_a 4.465
_cell_length_b 2.994
_cell_length_c 5.552
_cell_angle_alpha 75.18
_cell_angle_beta 90.00
_cell_angle_gamma 90.00
loop_
_space_group_symop_operation_xyz
'x,y,z'
loop_
_atom_site_label
_atom_site_type_symbol
_atom_site_fract_x
_atom_site_fract_y
_atom_site_fract_z
Os1 Os 0.500 0.750 0.750
Cu1 Cu 0.000 0.559 0.564
La1 La 0.500 0.250 0.250
Cu2 Cu 0.000 0.941 0.936
# **Formation energy**: 0.29 eV per atom
# **DFT total energy**: -5.79 eV/atom
# **Space-group type**: P2/m, No. 10

(10)
# LaCu2Os PBE-GGA optimized geometry
data_LaCu2Os
_space_group_name_H-M_alt 'P 1'
_space_group_IT_number 1
_cell_length_a 4.139
_cell_length_b 2.913
_cell_length_c 5.984
_cell_angle_alpha 81.75
_cell_angle_beta 90.00
_cell_angle_gamma 90.00
loop_
_space_group_symop_operation_xyz
'x,y,z'
loop_
_atom_site_label
_atom_site_type_symbol
_atom_site_fract_x
_atom_site_fract_y
_atom_site_fract_z
La1 La 0.000 0.510 0.499
Cu1 Cu 0.500 0.117 0.198
Os1 Os 0.500 0.725 0.835
Cu2 Cu 0.000 0.148 0.968
# **Formation energy**: 0.31 eV per atom
# **DFT total energy**: -5.78 eV/atom
# **Space-group type**: Pm, No. 6

(11)
# LaCuOs PBE-GGA optimized geometry
data_LaCuOs
_space_group_name_H-M_alt 'P 1'
_space_group_IT_number 1
_cell_length_a 4.418
_cell_length_b 5.647
_cell_length_c 5.961
_cell_angle_alpha 74.20
_cell_angle_beta 68.19
_cell_angle_gamma 89.96
loop_
_space_group_symop_operation_xyz
'x,y,z'
loop_
_atom_site_label
_atom_site_type_symbol
_atom_site_fract_x
_atom_site_fract_y
_atom_site_fract_z
Cu1 Cu 0.908 0.300 0.684
Os1 Os 0.282 0.093 0.936
Cu2 Cu 0.092 0.700 0.316
La1 La 0.395 0.690 0.711
La2 La 0.605 0.310 0.289
Os2 Os 0.718 0.907 0.064
# **Formation energy**: -0.05 eV per atom
# **DFT total energy**: -6.80 eV/atom
# **Space-group type**: C2/m, No. 12

(12)
# LaCu2Os PBE-GGA optimized geometry
data_LaCu2Os
_space_group_name_H-M_alt 'P 1'
_space_group_IT_number 1
_cell_length_a 9.705
_cell_length_b 9.705
_cell_length_c 9.705
_cell_angle_alpha 17.02
_cell_angle_beta 17.02
_cell_angle_gamma 17.02
loop_
_space_group_symop_operation_xyz
'x,y,z'
loop_
_atom_site_label
_atom_site_type_symbol
_atom_site_fract_x
_atom_site_fract_y
_atom_site_fract_z
Cu1 Cu 0.488 0.488 0.488
Cu2 Cu 0.012 0.012 0.012
La1 La 0.250 0.250 0.250
Os1 Os 0.750 0.750 0.750
# **Formation energy**: 0.66 eV per atom
# **DFT total energy**: -5.43 eV/atom
# **Space-group type**: R-3m, No. 166

Look up the formation energy of the ninth one.
0.29 eV per atom